Here is a PBEsol-optimized structure of Ba3HfIr from the Alexandria database. Energies are from meta-GGA SCAN.

Properties
**Space group**: Pm-3m (221)
**Calculated total energy**: -49.8099 eV/atom
**Formation energy**: 675 meV/atom
**DOS(E_F)**: 7.8 states/eV per cell
**Energy above the lowest structure with this stoichiometry**: 0.0000 eV per atom

Lattice parameters (Å, degrees): 5.9055 5.9055 5.9055 90.00 90.00 90.00
Last column: nearest neighbours and their distance in Å.
Element x y z (fractional)
1 Ba 0.0000 0.5000 0.0000  2 Ir 2.95
2 Ba 0.0000 0.0000 0.5000  2 Ir 2.95
3 Ba 0.5000 0.0000 0.0000  2 Ir 2.95
4 Hf 0.5000 0.5000 0.5000  12 Ba 4.18
5 Ir 0.0000 0.0000 0.0000  6 Ba 2.95